The following is a DFT calculation (GGA-PBE) of a geometry-optimized Na5B9C structure.

* formation energy: 253 meV per atom
* symmetry: P-1 (2)
* polymorph energy (0 for the lowest one): 16 meV/atom
* D(E_F): 7.829 states/eV per cell

a b c (Å): 5.1109 7.9319 9.1902
angles (deg): 108.01 90.01 108.78
Closest atoms and distances in Å follow each position.
Atoms (fractional coordinates):
1 Na 0.0000 0.0000 0.0000  12 B 2.72-2.87, 6 Na 2.95-3.00
2 Na 0.0972 0.2004 0.4989  11 B 2.71-2.88, 1 C 2.79, 6 Na 2.95-3.02
3 Na 0.2000 0.4002 0.0003  10 B 2.71-2.80, 2 C 2.75-2.78, 6 Na 2.95-3.01
4 Na 0.3035 0.6012 0.5010  11 B 2.72-2.88, 1 C 2.77, 6 Na 2.94-3.00
5 Na 0.4031 0.8001 0.9989  11 B 2.72-2.87, 1 C 2.77, 6 Na 2.95-3.01
6 Na 0.5000 0.0000 0.5000  10 B 2.72-2.80, 2 C 2.77, 6 Na 2.95-3.00
7 Na 0.5969 0.1999 0.0011  11 B 2.72-2.87, 1 C 2.77, 6 Na 2.95-3.01
8 Na 0.6965 0.3988 0.4990  11 B 2.72-2.88, 1 C 2.77, 6 Na 2.94-3.00
9 Na 0.8000 0.5998 0.9997  10 B 2.71-2.80, 2 C 2.75-2.78, 6 Na 2.95-3.01
10 Na 0.9028 0.7996 0.5011  11 B 2.71-2.88, 1 C 2.79, 6 Na 2.95-3.02
11 B 0.0318 0.7013 0.7499  3 B 1.73-1.79
12 B 0.0600 0.4822 0.7505  1 C 1.59, 1 B 1.76
13 B 0.1219 0.8818 0.2499  1 C 1.59, 1 B 1.76
14 B 0.2112 0.0970 0.7492  3 B 1.68-1.77
15 B 0.2881 0.9058 0.7494  3 B 1.68-1.77
16 B 0.3176 0.3059 0.2500  3 B 1.69-1.77
17 B 0.3693 0.1015 0.2505  3 B 1.73-1.79
18 B 0.4142 0.5031 0.7507  3 B 1.69-1.77
19 B 0.4887 0.3001 0.7503  1 C 1.63, 2 B 1.77
20 B 0.5113 0.6999 0.2497  1 C 1.63, 2 B 1.77
21 B 0.5858 0.4969 0.2493  3 B 1.69-1.77
22 B 0.6307 0.8985 0.7495  3 B 1.73-1.79
23 B 0.6824 0.6941 0.7500  3 B 1.69-1.77
24 B 0.7119 0.0942 0.2506  3 B 1.68-1.77
25 B 0.7888 0.9030 0.2508  3 B 1.68-1.77
26 B 0.8781 0.1182 0.7501  1 C 1.59, 1 B 1.76
27 B 0.9400 0.5178 0.2495  1 C 1.59, 1 B 1.76
28 B 0.9682 0.2987 0.2501  3 B 1.73-1.79
29 C 0.1916 0.6996 0.2492  3 B 1.59-1.63
30 C 0.8084 0.3004 0.7508  3 B 1.59-1.63